Version i
SmMgTe3Au | PBE-GGA | optimized geometry

Values from the calculation:
volume: 182 Å³/f.u.
crystal system: orthorhombic
symmetry: Cmcm, No. 63

a b c (Å): 7.8850 7.8850 11.3479
angles (deg): 90.00 90.00 31.05
Positions (direct):
Mg  0.1492  0.1492  0.7500
Te  0.6507  0.6507  0.9351
Te  0.6507  0.6507  0.5649
Au  0.5211  0.5211  0.7500
Te  0.3493  0.3493  0.4351
Mg  0.8508  0.8508  0.2500
Au  0.4789  0.4789  0.2500
Sm  0.0000  0.0000  0.5000
Te  0.3493  0.3493  0.0649
Sm  0.0000  0.0000  0.0000
Te  0.9038  0.9038  0.7500
Te  0.0962  0.0962  0.2500

=====

Version ii
SmMgTe3Au | PBE-GGA | optimized geometry

Values from the calculation:
volume: 169 Å³/f.u.
crystal system: orthorhombic
symmetry: Pnma, No. 62

a b c (Å): 4.2521 12.3862 12.8330
angles (deg): 90.00 90.00 90.00
Positions (direct):
Sm  0.2500  0.3038  0.9528
Mg  0.7500  0.9376  0.2303
Au  0.7500  0.2780  0.2659
Sm  0.2500  0.1962  0.4528
Mg  0.2500  0.0624  0.7697
Te  0.2500  0.1513  0.1959
Te  0.7500  0.0664  0.5961
Te  0.2500  0.9336  0.4039
Te  0.7500  0.1185  0.9514
Te  0.2500  0.6185  0.5486
Te  0.2500  0.5664  0.9039
Te  0.2500  0.3487  0.6959
Te  0.7500  0.8487  0.8041
Au  0.7500  0.2220  0.7659
Te  0.7500  0.6513  0.3041
Au  0.2500  0.7220  0.7341
Mg  0.7500  0.5624  0.7303
Te  0.2500  0.8815  0.0486
Sm  0.7500  0.8038  0.5472
Te  0.7500  0.3815  0.4514
Sm  0.7500  0.6962  0.0472
Mg  0.2500  0.4376  0.2697
Au  0.2500  0.7780  0.2341
Te  0.7500  0.4336  0.0961

=====

Quick one: most stable of them? version i

=====

Version i
NaNiMoAu | PBE-GGA | optimized geometry

Values from the calculation:
volume: 64 Å³/f.u.
crystal system: cubic
symmetry: F-43m, No. 216

a b c (Å): 4.4897 4.4897 4.4897
angles (deg): 60.00 60.00 60.00
Positions (direct):
Mo  0.2500  0.2500  0.2500
Au  0.0000  0.0000  0.0000
Ni  0.5000  0.5000  0.5000
Na  0.7500  0.7500  0.7500

=====

Version ii
NaNiMoAu | PBE-GGA | optimized geometry

Values from the calculation:
volume: 60 Å³/f.u.
crystal system: cubic
symmetry: F-43m, No. 216

a b c (Å): 4.4024 4.4024 4.4024
angles (deg): 60.00 60.00 60.00
Positions (direct):
Au  0.5000  0.5000  0.5000
Na  0.7500  0.7500  0.7500
Ni  0.2500  0.2500  0.2500
Mo  0.0000  0.0000  0.0000

=====

Quick one: most stable of them? version i

=====

Version i
MoPdAu2 | PBE-GGA | optimized geometry

Values from the calculation:
volume: 67 Å³/f.u.
crystal system: cubic
symmetry: F-43m, No. 216

a b c (Å): 4.5577 4.5577 4.5577
angles (deg): 60.00 60.00 60.00
Positions (direct):
Au  0.5000  0.5000  0.5000
Pd  0.2500  0.2500  0.2500
Mo  0.0000  0.0000  0.0000
Au  0.7500  0.7500  0.7500

=====

Version ii
MoPdAu2 | PBE-GGA | optimized geometry

Values from the calculation:
volume: 67 Å³/f.u.
crystal system: cubic
symmetry: Fm-3m, No. 225

a b c (Å): 4.5518 4.5518 4.5518
angles (deg): 60.00 60.00 60.00
Positions (direct):
Pd  0.5000  0.5000  0.5000
Au  0.2500  0.2500  0.2500
Au  0.7500  0.7500  0.7500
Mo  0.0000  0.0000  0.0000

=====

Quick one: most stable of them? version ii